{
  "formula": "CdPtCl2",
  "functional": "PBEsol",
  "state": "optimized geometry",
  "lattice": [[-1.388, 2.230, 1.743], [-0.680, -2.148, 2.205], [6.857, 1.486, 3.561]],
  "species": ["Cl", "Cl", "Pt", "Cd"],
  "frac_coords": [[0.000, 0.000, 0.941], [0.500, 0.500, 0.313], [0.000, 0.000, 0.511], [0.500, 0.500, 0.736]],
  "dft_energy_ev_per_atom": -3.139,
  "n_ef_per_ev_cell": 4.0,
  "raw_formation_energy_ev_per_atom": -0.095
}